Record 1
A geometry-optimized AgSn3Ge structure, computed with GGA-PBE.

As for the formation energy: 609 meV/atom. The density of states at the Fermi level comes out at 3.0 states/eV/f.u.

It has space group Pm-3m (No. 221), with a = 5.330 Å, b = 5.330 Å, c = 5.330 Å, α = 90.00°, β = 90.00° and γ = 90.00°. The asymmetric unit holds Ag at (0.000, 0.000, 0.000), Sn at (0.000, 0.500, 0.500) and Ge at (0.500, 0.500, 0.500).


Record 2
A geometry-optimized Cs3In3Pb8 structure, computed with GGA-PBE.

As for the formation energy: -84 meV/atom. The density of states at the Fermi level comes out at 5.7 states/eV/f.u.

It has space group C2/m (No. 12), with a = 19.862 Å, b = 5.290 Å, c = 12.549 Å, α = 90.00°, β = 128.11° and γ = 90.00°. The asymmetric unit holds Cs at (0.000, 0.000, 0.000), Cs at (0.200, 0.500, 0.698), In at (0.000, 0.000, 0.500), In at (0.163, 0.500, 0.022), Pb at (0.003, 0.500, 0.696), Pb at (0.140, 0.000, 0.860), Pb at (0.149, 0.500, 0.280) and Pb at (0.153, 0.000, 0.434).


Record 3
A geometry-optimized Dy2AsRh3 structure, computed with GGA-PBE.

As for the formation energy: -904 meV/atom. The density of states at the Fermi level comes out at 3.1 states/eV/f.u.

It has space group R-3m (No. 166, hexagonal axes), with a = 5.5863 Å, b = 5.5863 Å, c = 11.9121 Å, α = 90.00°, β = 90.00° and γ = 120.00°. The asymmetric unit holds Dy at (0.0000, 0.0000, 0.1279), As at (0.0000, 0.0000, 0.5000) and Rh at (0.0000, 0.5000, 0.0000).


Record 4
A geometry-optimized HgPtS2 structure, computed with GGA-PBE.

The calculation puts the uncorrected formation energy at -0.01 eV/atom. The density of states at the Fermi level comes out at 0.1 states/eV/f.u.

It has space group Pna2_1 (No. 33), with a = 6.904 Å, b = 8.237 Å, c = 6.737 Å, α = 90.00°, β = 90.00° and γ = 90.00°. The asymmetric unit holds Hg at (0.082, 0.132, 0.000), Pt at (0.074, 0.628, 0.006), S at (0.063, 0.596, 0.661) and S at (0.106, 0.146, 0.600).


Record 5
A geometry-optimized CeEuInGe structure, computed with GGA-PBE.

As for the formation energy: -425 meV/atom. The density of states at the Fermi level comes out at 8.4 states/eV/f.u.

It has space group F-43m (No. 216), with a = 7.576 Å, b = 7.576 Å, c = 7.576 Å, α = 90.00°, β = 90.00° and γ = 90.00°. The asymmetric unit holds Ce at (0.000, 0.000, 0.000), Eu at (0.000, 0.000, 0.500), In at (0.250, 0.250, 0.250) and Ge at (0.250, 0.250, 0.750).


Record 6
A geometry-optimized Al2CdTe4 structure, computed with GGA-PBE.

The calculation puts the uncorrected formation energy at -0.45 eV/atom.

It has space group P-42m (No. 111), with a = 6.037 Å, b = 6.037 Å, c = 6.442 Å, α = 90.00°, β = 90.00° and γ = 90.00°. The asymmetric unit holds Al at (0.000, 0.500, 0.000), Cd at (0.000, 0.000, 0.500) and Te at (0.274, 0.274, 0.752).


Record 7
A geometry-optimized CuTcSb2 structure, computed with GGA-PBE.

The calculation puts the uncorrected formation energy at 0.54 eV/atom. The density of states at the Fermi level comes out at 2.9 states/eV/f.u.

It has space group I-42d (No. 122), with a = 6.125 Å, b = 6.125 Å, c = 11.241 Å, α = 90.00°, β = 90.00° and γ = 90.00°. The asymmetric unit holds Cu at (0.000, 0.000, 0.000), Tc at (0.000, 0.000, 0.500) and Sb at (0.248, 0.250, 0.625).


Record 8
A geometry-optimized Ca2InPd2 structure, computed with GGA-PBE.

As for the formation energy: -505 meV/atom. The density of states at the Fermi level comes out at 1.8 states/eV/f.u.

It has space group I4/mmm (No. 139), with a = 5.627 Å, b = 5.627 Å, c = 8.028 Å, α = 90.00°, β = 90.00° and γ = 90.00°. The asymmetric unit holds Ca at (0.000, 0.500, 0.250), In at (0.000, 0.000, 0.000) and Pd at (0.000, 0.000, 0.335).


Record 9
A geometry-optimized Mg12Bi6H structure, computed with GGA-PBE.

As for the total energy: -140.51 eV/cell. The density of states at the Fermi level comes out at 4.9 states/eV/f.u.

It has space group R-3 (No. 148, hexagonal axes), with a = 12.4939 Å, b = 12.4939 Å, c = 11.9326 Å, α = 90.00°, β = 90.00° and γ = 120.00°. The asymmetric unit holds Mg at (0.0377, 0.8740, 0.3893), Mg at (0.0544, 0.8242, 0.9074), Bi at (0.0591, 0.5976, 0.8244) and H at (0.0000, 0.0000, 0.5000).


Record 10
A geometry-optimized Ba6P2Cl3F structure, computed with GGA-PBE.

The calculation puts the uncorrected formation energy at -1.84 eV/atom. The density of states at the Fermi level comes out at 4.2 states/eV/f.u.

It has space group C2/m (No. 12), with a = 7.802 Å, b = 13.512 Å, c = 7.989 Å, α = 90.00°, β = 109.18° and γ = 90.00°. The asymmetric unit holds Ba at (0.240, 0.165, 0.226), Ba at (0.245, 0.500, 0.229), P at (0.000, 0.334, 0.000), Cl at (0.000, 0.175, 0.500), Cl at (0.000, 0.500, 0.500) and F at (0.000, 0.000, 0.000).


Record 11
A geometry-optimized NbGeAs2 structure, computed with GGA-PBE.

As for the formation energy: -113 meV/atom. The density of states at the Fermi level comes out at 1.4 states/eV/f.u.

It has space group Cm (No. 8), with a = 5.530 Å, b = 7.765 Å, c = 3.691 Å, α = 90.00°, β = 111.68° and γ = 90.00°. The asymmetric unit holds Nb at (0.000, 0.000, 0.000), Ge at (0.050, 0.500, 0.203) and As at (0.184, 0.224, 0.618).


Record 12
A geometry-optimized InTcAs2 structure, computed with GGA-PBE.

As for the formation energy: 411 meV/atom. The density of states at the Fermi level comes out at 3.6 states/eV/f.u.

It has space group C2/m (No. 12), with a = 5.668 Å, b = 7.570 Å, c = 3.401 Å, α = 90.00°, β = 90.81° and γ = 90.00°. The asymmetric unit holds In at (0.000, 0.000, 0.000), Tc at (0.000, 0.500, 0.000) and As at (0.250, 0.250, 0.500).


Record 13
A geometry-optimized CaLa12Pm5 structure, computed with GGA-PBE.

As for the formation energy: 24 meV/atom. The density of states at the Fermi level comes out at 31.2 states/eV/f.u.

It has space group C2/m (No. 12), with a = 19.319 Å, b = 11.137 Å, c = 6.458 Å, α = 90.00°, β = 109.27° and γ = 90.00°. The asymmetric unit holds Ca at (0.000, 0.000, 0.000), La at (0.000, 0.174, 0.500), La at (0.000, 0.338, 0.000), La at (0.166, 0.330, 0.836), La at (0.170, 0.172, 0.338), Pm at (0.000, 0.500, 0.500), Pm at (0.166, 0.500, 0.337) and Pm at (0.169, 0.000, 0.826).


Record 14
A geometry-optimized Tb3Ga3Cu2 structure, computed with GGA-PBE.

As for the formation energy: -535 meV/atom. The density of states at the Fermi level comes out at 5.6 states/eV/f.u.

It has space group Cmcm (No. 63), with a = 4.350 Å, b = 10.335 Å, c = 14.588 Å, α = 90.00°, β = 90.00° and γ = 90.00°. The asymmetric unit holds Tb at (0.000, 0.098, 0.107), Tb at (0.000, 0.375, 0.250), Ga at (0.000, 0.333, 0.750), Ga at (0.000, 0.386, 0.039) and Cu at (0.000, 0.200, 0.600).


Record 15
A geometry-optimized Nd5IrRh2 structure, computed with GGA-PBE.

As for the formation energy: -564 meV/atom. The density of states at the Fermi level comes out at 6.2 states/eV/f.u.

It has space group I4/mcm (No. 140), with a = 7.544 Å, b = 7.544 Å, c = 14.419 Å, α = 90.00°, β = 90.00° and γ = 90.00°. The asymmetric unit holds Nd at (0.000, 0.000, 0.000), Nd at (0.175, 0.325, 0.144), Ir at (0.000, 0.000, 0.250) and Rh at (0.129, 0.371, 0.500).


Record 16
A geometry-optimized Ba3Er2O3F4 structure, computed with GGA-PBE.

The calculation puts the uncorrected formation energy at -3.22 eV/atom. The density of states at the Fermi level comes out at 2.4 states/eV/f.u.

It has space group Imm2 (No. 44), with a = 4.418 Å, b = 28.200 Å, c = 4.530 Å, α = 90.00°, β = 90.00° and γ = 90.00°. The asymmetric unit holds Ba at (0.000, 0.000, 0.000), Ba at (0.000, 0.181, 0.183), Er at (0.000, 0.424, 0.925), O at (0.000, 0.082, 0.356), O at (0.000, 0.500, 0.883), F at (0.000, 0.345, 0.889) and F at (0.000, 0.430, 0.410).


Record 17
A geometry-optimized Pm10Y4Pu structure, computed with GGA-PBE.

As for the formation energy: 348 meV/atom. The density of states at the Fermi level comes out at 29.3 states/eV/f.u.

It has space group I4/m (No. 87), with a = 9.848 Å, b = 9.848 Å, c = 10.601 Å, α = 90.00°, β = 90.00° and γ = 90.00°. The asymmetric unit holds Pm at (0.000, 0.500, 0.250), Pm at (0.114, 0.788, 0.158), Y at (0.060, 0.675, 0.500) and Pu at (0.000, 0.000, 0.500).


Record 18
A geometry-optimized TaNb3Ga structure, computed with GGA-PBE.

As for the formation energy: 1105 meV/atom. The density of states at the Fermi level comes out at 5.8 states/eV/f.u.

It has space group Pm-3m (No. 221), with a = 4.718 Å, b = 4.718 Å, c = 4.718 Å, α = 90.00°, β = 90.00° and γ = 90.00°. The asymmetric unit holds Ta at (0.000, 0.000, 0.000), Nb at (0.000, 0.500, 0.500) and Ga at (0.500, 0.500, 0.500).


Record 19
A geometry-optimized Tl2Hg2Pt structure, computed with GGA-PBE.

As for the formation energy: -62 meV/atom. The density of states at the Fermi level comes out at 1.4 states/eV/f.u.

It has space group P4/mmm (No. 123), with a = 5.346 Å, b = 5.346 Å, c = 5.400 Å, α = 90.00°, β = 90.00° and γ = 90.00°. The asymmetric unit holds Tl at (0.000, 0.500, 0.000), Hg at (0.000, 0.000, 0.500), Hg at (0.500, 0.500, 0.500) and Pt at (0.000, 0.000, 0.000).


Record 20
A geometry-optimized Sr2BeTePt structure, computed with GGA-PBE.

The calculation puts the uncorrected formation energy at -0.76 eV/atom. The density of states at the Fermi level comes out at 2.0 states/eV/f.u.

It has space group P4/mmm (No. 123), with a = 5.859 Å, b = 5.859 Å, c = 4.366 Å, α = 90.00°, β = 90.00° and γ = 90.00°. The asymmetric unit holds Sr at (0.000, 0.500, 0.000), Be at (0.000, 0.000, 0.500), Te at (0.500, 0.500, 0.500) and Pt at (0.000, 0.000, 0.000).


Per-record calculated density, g/cm3: 5.9, 7.7, 11.0, 8.0, 7.3, 4.8, 6.4, 5.3, 4.8, 4.2, 7.1, 8.3, 6.2, 8.2, 9.1, 5.1, 6.6, 8.4, 10.8, 5.6